# 1
This record from the Alexandria database describes a relaxed Ge2Pt2Pb crystal. The functional is PBE.

Results
For the density of states at the Fermi level, the calculation gives 6.61 states/eV/cell. The magnetic moment comes out at 0.00 μB per formula unit. For the total DFT energy (no corrections), the calculation gives -5.1337 eV per atom. Its energy above the most stable polymorph in this dataset is 156 meV/atom. The calculation puts the formation energy at -0.129 eV/atom.

abc: 7.876 7.876 3.080
angles: 90.00 90.00 90.00
Space group P4/mbm (No. 127)
Inequivalent atoms, fractional coordinates:
Ge 0.147 0.353 0.000 x4
Pt 0.136 0.636 0.500 x4
Pb 0.000 0.000 0.500 x2

=====

# 2
This record from the Alexandria database describes a relaxed GePtPb3 crystal. The functional is PBE.

Results
For the density of states at the Fermi level, the calculation gives 3.05 states/eV/cell. The magnetic moment comes out at 0.00 μB per formula unit. For the total DFT energy (no corrections), the calculation gives -3.5662 eV per atom. Its energy above the most stable polymorph in this dataset is 461 meV/atom. The calculation puts the formation energy at 0.790 eV/atom.

abc: 5.392 5.392 5.392
angles: 90.00 90.00 90.00
Space group Pm-3m (No. 221)
Inequivalent atoms, fractional coordinates:
Ge 0.000 0.000 0.000 x1
Pt 0.500 0.500 0.500 x1
Pb 0.000 0.000 0.500 x3

=====

# 3
This record from the Alexandria database describes a relaxed Ge2Pt2Pb crystal. The functional is PBE.

Results
For the density of states at the Fermi level, the calculation gives 4.86 states/eV/cell. The magnetic moment comes out at 0.00 μB per formula unit. For the total DFT energy (no corrections), the calculation gives -5.0715 eV per atom. Its energy above the most stable polymorph in this dataset is 218 meV/atom. The calculation puts the formation energy at -0.067 eV/atom.

abc: 8.013 8.013 2.996
angles: 90.00 90.00 90.00
Space group P4/mbm (No. 127)
Inequivalent atoms, fractional coordinates:
Ge 0.131 0.369 0.000 x4
Pt 0.152 0.652 0.500 x4
Pb 0.000 0.000 0.000 x2

=====

# 4
This record from the Alexandria database describes a relaxed GePt3Pb crystal. The functional is PBE.

Results
For the density of states at the Fermi level, the calculation gives 1.61 states/eV/cell. The magnetic moment comes out at 0.00 μB per formula unit. For the total DFT energy (no corrections), the calculation gives -5.1398 eV per atom. Its energy above the most stable polymorph in this dataset is 298 meV/atom. The calculation puts the formation energy at 0.150 eV/atom.

abc: 4.747 4.747 4.747
angles: 90.00 90.00 90.00
Space group Pm-3m (No. 221)
Inequivalent atoms, fractional coordinates:
Ge 0.000 0.000 0.000 x1
Pt 0.000 0.000 0.500 x3
Pb 0.500 0.500 0.500 x1

=====

# 5
This record from the Alexandria database describes a relaxed Ge12Pt4Pb crystal. The functional is PBE.

Results
For the density of states at the Fermi level, the calculation gives 19.40 states/eV/cell. The magnetic moment comes out at 0.00 μB per formula unit. For the total DFT energy (no corrections), the calculation gives -5.0981 eV per atom. The calculation puts the formation energy at -0.199 eV/atom.

abc: 8.772 8.772 8.772
angles: 90.00 90.00 90.00
Space group Im-3 (No. 204)
Inequivalent atoms, fractional coordinates:
Ge 0.000 0.150 0.352 x24
Pt 0.250 0.250 0.250 x8
Pb 0.000 0.000 0.000 x2

=====

# 6
This record from the Alexandria database describes a relaxed Ge2PtPb2 crystal. The functional is PBE.

Results
For the density of states at the Fermi level, the calculation gives 2.17 states/eV/cell. The magnetic moment comes out at 0.00 μB per formula unit. For the total DFT energy (no corrections), the calculation gives -4.6408 eV per atom. The calculation puts the formation energy at -0.102 eV/atom.

abc: 6.549 6.549 5.393
angles: 90.00 90.00 90.00
Space group P4/mbm (No. 127)
Inequivalent atoms, fractional coordinates:
Ge 0.138 0.362 0.000 x4
Pt 0.000 0.000 0.000 x2
Pb 0.178 0.678 0.500 x4

=====

# 7
This record from the Alexandria database describes a relaxed Ge2Pt2Pb crystal. The functional is PBE.

Results
For the density of states at the Fermi level, the calculation gives 5.96 states/eV/cell. The magnetic moment comes out at 0.00 μB per formula unit. For the total DFT energy (no corrections), the calculation gives -5.2365 eV per atom. Its energy above the most stable polymorph in this dataset is 53 meV/atom. The calculation puts the formation energy at -0.232 eV/atom.

abc: 4.388 4.388 10.687
angles: 90.00 90.00 90.00
Space group I4/mmm (No. 139)
Inequivalent atoms, fractional coordinates:
Ge 0.000 0.500 0.250 x4
Pt 0.000 0.000 0.132 x4
Pb 0.000 0.000 0.500 x2

=====

# 8
This record from the Alexandria database describes a relaxed GePtPb2 crystal. The functional is PBE.

Results
For the density of states at the Fermi level, the calculation gives 6.22 states/eV/cell. The magnetic moment comes out at 0.00 μB per formula unit. For the total DFT energy (no corrections), the calculation gives -4.2526 eV per atom. The calculation puts the formation energy at 0.266 eV/atom.

abc: 5.758 5.758 15.016
angles: 90.00 90.00 90.00
Space group I-42d (No. 122)
Inequivalent atoms, fractional coordinates:
Ge 0.000 0.000 0.000 x4
Pt 0.000 0.000 0.500 x4
Pb 0.227 0.250 0.625 x8

=====

What is the formula in the third record? Ge2Pt2Pb